SbPtAu: relaxed, PBE.

Computed properties:
Energy above the lowest structure with this stoichiometry, meV per atom: 75.5
Formation energy (no corrections), eV per atom: -0.1157
Space-group type: P3m1 (156)

Geometry as extended XYZ:
```
3
Lattice="3.908 0.000 0.000 -1.954 3.384 0.000 0.000 0.000 4.871" Properties=species:S:1:pos:R:3 pbc="T T T"
Sb 0.000 0.000 0.000
Pt 0.000 2.256 3.464
Au 1.954 1.128 1.863
```

=====

SbPtAu2: relaxed, PBE.

Computed properties:
Formation energy (no corrections), eV per atom: 0.0928
Space-group type: R-3m (166)

Geometry as extended XYZ:
```
4
Lattice="2.137 1.234 5.186 -2.137 1.234 5.186 0.000 -2.468 5.186" Properties=species:S:1:pos:R:3 pbc="T T T"
Sb 0.000 0.000 0.000
Pt 0.000 0.000 7.779
Au 0.000 0.000 3.770
Au 0.000 0.000 11.788
```

=====

SbPt2Au: relaxed, PBE.

Computed properties:
Formation energy (no corrections), eV per atom: -0.0857
Space-group type: P4mm (99)

Geometry as extended XYZ:
```
4
Lattice="3.820 0.000 0.000 0.000 3.820 0.000 0.000 0.000 5.367" Properties=species:S:1:pos:R:3 pbc="T T T"
Sb 0.000 0.000 0.000
Pt 0.000 0.000 2.653
Pt 1.910 1.910 4.863
Au 1.910 1.910 2.222
```

=====

SbPtAu2: relaxed, PBE.

Computed properties:
Formation energy (no corrections), eV per atom: -0.0470
Space-group type: R3m (160)

Geometry as extended XYZ:
```
4
Lattice="1.916 1.106 6.645 -1.916 1.106 6.645 0.000 -2.212 6.645" Properties=species:S:1:pos:R:3 pbc="T T T"
Sb 0.000 0.000 0.000
Pt 0.000 0.000 14.758
Au 0.000 0.000 4.781
Au 0.000 0.000 9.733
```

=====

SbPtAu2: relaxed, PBE.

Computed properties:
Formation energy (no corrections), eV per atom: 0.0240
Space-group type: P4/mmm (123)

Geometry as extended XYZ:
```
4
Lattice="4.054 0.000 0.000 0.000 4.054 0.000 0.000 0.000 4.630" Properties=species:S:1:pos:R:3 pbc="T T T"
Sb 0.000 0.000 0.000
Pt 2.027 2.027 0.000
Au 0.000 2.027 2.315
Au 2.027 0.000 2.315
```

=====

SbPt2Au: relaxed, PBE.

Computed properties:
Formation energy (no corrections), eV per atom: -0.1188
Space-group type: R-3m (166)

Geometry as extended XYZ:
```
4
Lattice="1.941 1.121 6.074 -1.941 1.121 6.074 0.000 -2.242 6.074" Properties=species:S:1:pos:R:3 pbc="T T T"
Sb 0.000 0.000 0.000
Pt 0.000 0.000 4.598
Pt 0.000 0.000 13.622
Au 0.000 0.000 9.110
```

=====

SbPt2Au: relaxed, PBE.

Computed properties:
Formation energy (no corrections), eV per atom: -0.0261
Space-group type: F-43m (216)

Geometry as extended XYZ:
```
4
Lattice="0.000 3.309 3.309 3.309 0.000 3.309 3.309 3.309 0.000" Properties=species:S:1:pos:R:3 pbc="T T T"
Sb 0.000 0.000 0.000
Pt 3.309 3.309 3.309
Pt 4.963 4.963 4.963
Au 1.654 1.654 1.654
```

=====

Sb2Pt2Au: relaxed, PBE.

Computed properties:
Energy above the lowest structure with this stoichiometry, meV per atom: 72.8
Formation energy (no corrections), eV per atom: -0.0879
Space-group type: I4/mmm (139)

Geometry as extended XYZ:
```
5
Lattice="-1.940 1.940 7.311 1.940 -1.940 7.311 1.940 1.940 -7.311" Properties=species:S:1:pos:R:3 pbc="T T T"
Sb 0.000 0.000 1.709
Sb 0.000 0.000 12.914
Pt 1.940 0.000 3.656
Pt 0.000 1.940 3.656
Au 0.000 0.000 7.311
```

=====

Sb3PtAu: relaxed, PBE.

Computed properties:
Energy above the lowest structure with this stoichiometry, meV per atom: 0.0
Formation energy (no corrections), eV per atom: 0.5058
Space-group type: Pm-3m (221)

Geometry as extended XYZ:
```
5
Lattice="5.256 0.000 0.000 0.000 5.256 0.000 0.000 0.000 5.256" Properties=species:S:1:pos:R:3 pbc="T T T"
Sb 0.000 0.000 2.628
Sb 0.000 2.628 0.000
Sb 2.628 0.000 0.000
Pt 0.000 0.000 0.000
Au 2.628 2.628 2.628
```

=====

SbPt2Au: relaxed, PBE.

Computed properties:
Formation energy (no corrections), eV per atom: -0.1096
Space-group type: P4/mmm (123)

Geometry as extended XYZ:
```
4
Lattice="3.552 0.000 0.000 0.000 3.552 0.000 0.000 0.000 5.759" Properties=species:S:1:pos:R:3 pbc="T T T"
Sb 0.000 0.000 0.000
Pt 1.776 1.776 1.445
Pt 1.776 1.776 4.314
Au 0.000 0.000 2.879
```

=====

SbPtAu2: relaxed, PBE.

Computed properties:
Formation energy (no corrections), eV per atom: -0.0771
Space-group type: Pm (6)

Geometry as extended XYZ:
```
4
Lattice="3.961 0.000 0.000 0.000 3.762 0.000 -0.919 0.000 5.416" Properties=species:S:1:pos:R:3 pbc="T T T"
Sb 0.000 0.000 0.000
Pt 1.780 1.881 0.703
Au 0.889 1.881 3.324
Au 2.873 0.000 2.630
```

=====

SbPt2Au: relaxed, PBE.

Computed properties:
Formation energy (no corrections), eV per atom: -0.0826
Space-group type: Immm (71)

Geometry as extended XYZ:
```
4
Lattice="-2.087 2.100 4.100 2.087 -2.100 4.100 2.087 2.100 -4.100" Properties=species:S:1:pos:R:3 pbc="T T T"
Sb 0.000 0.000 0.000
Pt 2.087 0.000 2.043
Pt 0.000 2.100 2.057
Au 0.000 0.000 4.100
```